1.
Here is Nb2BiTe2 after structural relaxation from the Open Quantum Materials Database. Energies are from GGA-PBE.

a b c (Å): 6.3018 6.3018 6.3018
angles (deg): 133.73 133.73 67.51
Sites, in units of the cell vectors:
Te: 0.3583 0.3583 0.0000
Te: 0.6417 0.6417 0.0000
Nb: 0.7500 0.2500 0.5000
Nb: 0.2500 0.7500 0.5000
Bi: 0.0000 0.0000 0.0000

Properties
As for the space group: I4/mmm (139).

***

2.
Here is Nb3TlBi5 after structural relaxation from the Open Quantum Materials Database. Energies are from GGA-PBE.

a b c (Å): 5.8215 5.8215 8.8675
angles (deg): 90.00 90.00 120.00
Sites, in units of the cell vectors:
Bi: 0.6667 0.3333 0.7848
Bi: 0.6667 0.3333 0.2152
Bi: 0.0000 0.0000 0.5000
Bi: 0.3333 0.6667 0.2152
Bi: 0.3333 0.6667 0.7848
Tl: 0.0000 0.0000 0.0000
Nb: 0.0000 0.5000 0.5000
Nb: 0.5000 0.5000 0.5000
Nb: 0.5000 0.0000 0.5000

Properties
As for the space group: P6/mmm (191).

***

3.
Here is UNbBi after structural relaxation from the Open Quantum Materials Database. Energies are from GGA-PBE.

a b c (Å): 4.8160 4.8160 4.8160
angles (deg): 60.00 60.00 60.00
Each line ends with the local moment (μB).
Sites, in units of the cell vectors:
Nb: 0.2500 0.2500 0.2500  0.10
U: 0.0000 0.0000 0.0000  1.92
Bi: 0.5000 0.5000 0.5000  -0.02

Properties
As for the space group: F-43m (216). The offset from the most stable computed form is 0 meV per atom.

***

4.
Here is UNbBi after structural relaxation from the Open Quantum Materials Database. Energies are from GGA-PBE.

a b c (Å): 4.9252 4.9252 4.9252
angles (deg): 60.00 60.00 60.00
Sites, in units of the cell vectors:
Nb: 0.7500 0.7500 0.7500
Bi: 0.2500 0.2500 0.2500
U: 0.0000 0.0000 0.0000

Properties
As for the space group: F-43m (216). The offset from the most stable computed form is 572 meV per atom.

***

Total magnetic moment list, top to bottom, in Bohr magnetons per cell: 0.61; 0.00; 2.15; 0.53
Energy list, top to bottom, in Ry/atom: -0.4347; -0.4295; -0.5729; -0.5309